First-principles (GGA-PBE) data for an optimized crystal structure of CuPd5Pt, as listed in Alexandria via LeMat-Bulk.

Computed properties:
Formation energy (kcal/mol of atoms): 2.7
Relative energy among the computed polymorphs (eV/atom): 0.025
Uncorrected energy (eV per atom): -5.04
Calculated volume (A^3/atom): 16.15

Unit cell a=6.675 b=6.675 c=6.675 alpha=116.47 beta=107.81 gamma=104.38
Fractional positions:
Cu 0.471 0.221 0.250
Cu 0.529 0.779 0.750
Pd 0.026 0.776 0.250
Pd 0.255 0.301 0.546
Pd 0.255 0.709 0.954
Pd 0.257 0.000 0.757
Pd 0.257 0.500 0.257
Pd 0.743 0.000 0.243
Pd 0.743 0.500 0.743
Pd 0.745 0.291 0.046
Pd 0.745 0.699 0.454
Pd 0.974 0.224 0.750
Pt 0.000 0.000 0.000
Pt 0.500 0.000 0.500